First-principles (PBE) data for a relaxed structure of K2FeAg, as listed in Alexandria via LeMat-Bulk.

Polymorph energy (0 for the lowest one) in meV per atom: 121
ΔE_f in eV/atom: 0.670
Size of the total moment in μB/f.u.: 3.091

Cell and atoms, written as CIF:
```
data_K2FeAg
_chemical_formula_sum 'K4 Fe2 Ag2'
_cell_length_a 12.6137
_cell_length_b 4.1984
_cell_length_c 5.6949
_cell_angle_alpha 90.00
_cell_angle_beta 116.80
_cell_angle_gamma 90.00
_symmetry_space_group_name_H-M 'C 1 m 1'
_symmetry_Int_Tables_number 8
loop_
_symmetry_equiv_pos_as_xyz
'x,y,z'
'x,-y,z'
'x+1/2,y+1/2,z'
'x+1/2,-y+1/2,z'
loop_
_atom_site_label
_atom_site_fract_x
_atom_site_fract_y
_atom_site_fract_z
K1 0.0000 0.0000 0.0000
K2 0.2064 0.0000 0.7058
Fe1 0.2954 0.5000 0.2939
Ag1 0.4279 0.0000 0.4286
```

First-principles (PBE) data for a relaxed structure of KFeAg4, as listed in Alexandria via LeMat-Bulk.

ΔE_f in eV/atom: 0.438
Size of the total moment in μB/f.u.: 3.239

Cell and atoms, written as CIF:
```
data_KFeAg4
_chemical_formula_sum 'K4 Fe4 Ag16'
_cell_length_a 7.9887
_cell_length_b 7.9887
_cell_length_c 7.9887
_cell_angle_alpha 90.00
_cell_angle_beta 90.00
_cell_angle_gamma 90.00
_symmetry_space_group_name_H-M 'F -4 3 m'
_symmetry_Int_Tables_number 216
_symmetry_space_group_name_Hall 'F -4 2 3'
loop_
_atom_site_label
_atom_site_fract_x
_atom_site_fract_y
_atom_site_fract_z
K1 0.0000 0.0000 0.0000
Fe1 0.2500 0.2500 0.2500
Ag1 0.1244 0.1244 0.6244
```

First-principles (PBE) data for a relaxed structure of KFeAg2, as listed in Alexandria via LeMat-Bulk.

Polymorph energy (0 for the lowest one) in meV per atom: 318
ΔE_f in eV/atom: 0.762
Size of the total moment in μB/f.u.: 3.144

Cell and atoms, written as CIF:
```
data_KFeAg2
_chemical_formula_sum 'K4 Fe4 Ag8'
_cell_length_a 7.0669
_cell_length_b 7.0669
_cell_length_c 7.0669
_cell_angle_alpha 90.00
_cell_angle_beta 90.00
_cell_angle_gamma 90.00
_symmetry_space_group_name_H-M 'F m -3 m'
_symmetry_Int_Tables_number 225
_symmetry_space_group_name_Hall '-F 4 2 3'
loop_
_atom_site_label
_atom_site_fract_x
_atom_site_fract_y
_atom_site_fract_z
K1 0.0000 0.0000 0.0000
Fe1 0.0000 0.0000 0.5000
Ag1 0.2500 0.2500 0.2500
```

First-principles (PBE) data for a relaxed structure of KFe2Ag, as listed in Alexandria via LeMat-Bulk.

Polymorph energy (0 for the lowest one) in meV per atom: 402
ΔE_f in eV/atom: 0.947
Size of the total moment in μB/f.u.: 5.305

Cell and atoms, written as CIF:
```
data_KFe2Ag
_chemical_formula_sum 'K2 Fe4 Ag2'
_cell_length_a 3.0568
_cell_length_b 4.5357
_cell_length_c 10.4595
_cell_angle_alpha 90.00
_cell_angle_beta 90.00
_cell_angle_gamma 90.00
_symmetry_space_group_name_H-M 'C m m m'
_symmetry_Int_Tables_number 65
_symmetry_space_group_name_Hall '-C 2 2'
loop_
_atom_site_label
_atom_site_fract_x
_atom_site_fract_y
_atom_site_fract_z
K1 0.0000 0.0000 0.0000
Fe1 0.0000 0.5000 0.2816
Ag1 0.0000 0.0000 0.5000
```

First-principles (PBE) data for a relaxed structure of K2FeAg, as listed in Alexandria via LeMat-Bulk.

Polymorph energy (0 for the lowest one) in meV per atom: 259
ΔE_f in eV/atom: 0.808
Size of the total moment in μB/f.u.: 3.241

Cell and atoms, written as CIF:
```
data_K2FeAg
_chemical_formula_sum 'K2 Fe1 Ag1'
_cell_length_a 3.9752
_cell_length_b 4.4704
_cell_length_c 7.4177
_cell_angle_alpha 90.00
_cell_angle_beta 90.00
_cell_angle_gamma 90.00
_symmetry_space_group_name_H-M 'P m m m'
_symmetry_Int_Tables_number 47
loop_
_symmetry_equiv_pos_as_xyz
'x,y,z'
'-x,-y,-z'
'-x,-y,z'
'x,y,-z'
'x,-y,-z'
'-x,y,z'
'-x,y,-z'
'x,-y,z'
loop_
_atom_site_label
_atom_site_fract_x
_atom_site_fract_y
_atom_site_fract_z
K1 0.0000 0.0000 0.2443
Fe1 0.5000 0.5000 0.5000
Ag1 0.5000 0.5000 0.0000
```

First-principles (PBE) data for a relaxed structure of KFe2Ag, as listed in Alexandria via LeMat-Bulk.

Polymorph energy (0 for the lowest one) in meV per atom: 465
ΔE_f in eV/atom: 1.009
Size of the total moment in μB/f.u.: 5.660

Cell and atoms, written as CIF:
```
data_KFe2Ag
_chemical_formula_sum 'K1 Fe2 Ag1'
_cell_length_a 5.1372
_cell_length_b 2.7517
_cell_length_c 5.5879
_cell_angle_alpha 90.00
_cell_angle_beta 109.41
_cell_angle_gamma 90.00
_symmetry_space_group_name_H-M 'P 1 2/m 1'
_symmetry_Int_Tables_number 10
loop_
_symmetry_equiv_pos_as_xyz
'x,y,z'
'-x,-y,-z'
'-x,y,-z'
'x,-y,z'
loop_
_atom_site_label
_atom_site_fract_x
_atom_site_fract_y
_atom_site_fract_z
K1 0.0000 0.0000 0.0000
Fe1 0.0000 0.5000 0.5000
Fe2 0.5000 0.0000 0.5000
Ag1 0.5000 0.5000 0.0000
```

First-principles (PBE) data for a relaxed structure of KFeAg2, as listed in Alexandria via LeMat-Bulk.

Polymorph energy (0 for the lowest one) in meV per atom: 0
ΔE_f in eV/atom: 0.444
Size of the total moment in μB/f.u.: 2.947

Cell and atoms, written as CIF:
```
data_KFeAg2
_chemical_formula_sum 'K1 Fe1 Ag2'
_cell_length_a 3.2237
_cell_length_b 3.2237
_cell_length_c 8.3303
_cell_angle_alpha 90.00
_cell_angle_beta 90.00
_cell_angle_gamma 90.00
_symmetry_space_group_name_H-M 'P 4/m m m'
_symmetry_Int_Tables_number 123
_symmetry_space_group_name_Hall '-P 4 2'
loop_
_atom_site_label
_atom_site_fract_x
_atom_site_fract_y
_atom_site_fract_z
K1 0.0000 0.0000 0.0000
Fe1 0.0000 0.0000 0.5000
Ag1 0.5000 0.5000 0.3194
```

First-principles (PBE) data for a relaxed structure of KFe2Ag, as listed in Alexandria via LeMat-Bulk.

Polymorph energy (0 for the lowest one) in meV per atom: 146
ΔE_f in eV/atom: 0.690
Size of the total moment in μB/f.u.: 5.753

Cell and atoms, written as CIF:
```
data_KFe2Ag
_chemical_formula_sum 'K2 Fe4 Ag2'
_cell_length_a 9.6555
_cell_length_b 2.8864
_cell_length_c 6.5444
_cell_angle_alpha 90.00
_cell_angle_beta 95.40
_cell_angle_gamma 90.00
_symmetry_space_group_name_H-M 'C 1 2/m 1'
_symmetry_Int_Tables_number 12
loop_
_symmetry_equiv_pos_as_xyz
'x,y,z'
'-x,-y,-z'
'-x,y,-z'
'x,-y,z'
'x+1/2,y+1/2,z'
'-x+1/2,-y+1/2,-z'
'-x+1/2,y+1/2,-z'
'x+1/2,-y+1/2,z'
loop_
_atom_site_label
_atom_site_fract_x
_atom_site_fract_y
_atom_site_fract_z
K1 0.0000 0.0000 0.0000
Fe1 0.2327 0.0000 0.6290
Ag1 0.0000 0.5000 0.5000
```

First-principles (PBE) data for a relaxed structure of KFe2Ag, as listed in Alexandria via LeMat-Bulk.

Polymorph energy (0 for the lowest one) in meV per atom: 388
ΔE_f in eV/atom: 0.932
Size of the total moment in μB/f.u.: 5.401

Cell and atoms, written as CIF:
```
data_KFe2Ag
_chemical_formula_sum 'K1 Fe2 Ag1'
_cell_length_a 2.7936
_cell_length_b 2.7936
_cell_length_c 9.7577
_cell_angle_alpha 90.00
_cell_angle_beta 90.00
_cell_angle_gamma 90.00
_symmetry_space_group_name_H-M 'P 4/m m m'
_symmetry_Int_Tables_number 123
_symmetry_space_group_name_Hall '-P 4 2'
loop_
_atom_site_label
_atom_site_fract_x
_atom_site_fract_y
_atom_site_fract_z
K1 0.0000 0.0000 0.0000
Fe1 0.5000 0.5000 0.2989
Ag1 0.0000 0.0000 0.5000
```

First-principles (PBE) data for a relaxed structure of KFe2Ag, as listed in Alexandria via LeMat-Bulk.

Polymorph energy (0 for the lowest one) in meV per atom: 675
ΔE_f in eV/atom: 1.219
Size of the total moment in μB/f.u.: 6.016

Cell and atoms, written as CIF:
```
data_KFe2Ag
_chemical_formula_sum 'K4 Fe8 Ag4'
_cell_length_a 6.7502
_cell_length_b 6.7502
_cell_length_c 6.7502
_cell_angle_alpha 90.00
_cell_angle_beta 90.00
_cell_angle_gamma 90.00
_symmetry_space_group_name_H-M 'F m -3 m'
_symmetry_Int_Tables_number 225
_symmetry_space_group_name_Hall '-F 4 2 3'
loop_
_atom_site_label
_atom_site_fract_x
_atom_site_fract_y
_atom_site_fract_z
K1 0.0000 0.0000 0.0000
Fe1 0.2500 0.2500 0.2500
Ag1 0.0000 0.0000 0.5000
```

First-principles (PBE) data for a relaxed structure of KFe2Ag, as listed in Alexandria via LeMat-Bulk.

Polymorph energy (0 for the lowest one) in meV per atom: 663
ΔE_f in eV/atom: 1.207
Size of the total moment in μB/f.u.: 5.618

Cell and atoms, written as CIF:
```
data_KFe2Ag
_chemical_formula_sum 'K1 Fe2 Ag1'
_cell_length_a 5.2411
_cell_length_b 5.2411
_cell_length_c 2.7446
_cell_angle_alpha 90.00
_cell_angle_beta 90.00
_cell_angle_gamma 90.00
_symmetry_space_group_name_H-M 'P 4/m m m'
_symmetry_Int_Tables_number 123
_symmetry_space_group_name_Hall '-P 4 2'
loop_
_atom_site_label
_atom_site_fract_x
_atom_site_fract_y
_atom_site_fract_z
K1 0.0000 0.0000 0.0000
Fe1 0.0000 0.5000 0.5000
Ag1 0.5000 0.5000 0.0000
```

First-principles (PBE) data for a relaxed structure of K2FeAg, as listed in Alexandria via LeMat-Bulk.

Polymorph energy (0 for the lowest one) in meV per atom: 292
ΔE_f in eV/atom: 0.841
Size of the total moment in μB/f.u.: 2.831

Cell and atoms, written as CIF:
```
data_K2FeAg
_chemical_formula_sum 'K4 Fe2 Ag2'
_cell_length_a 7.9431
_cell_length_b 2.9538
_cell_length_c 10.2958
_cell_angle_alpha 90.00
_cell_angle_beta 92.30
_cell_angle_gamma 90.00
_symmetry_space_group_name_H-M 'C 1 2/m 1'
_symmetry_Int_Tables_number 12
loop_
_symmetry_equiv_pos_as_xyz
'x,y,z'
'-x,-y,-z'
'-x,y,-z'
'x,-y,z'
'x+1/2,y+1/2,z'
'-x+1/2,-y+1/2,-z'
'-x+1/2,y+1/2,-z'
'x+1/2,-y+1/2,z'
loop_
_atom_site_label
_atom_site_fract_x
_atom_site_fract_y
_atom_site_fract_z
K1 0.2487 0.0000 0.2500
Fe1 0.0000 0.0000 0.5000
Ag1 0.0000 0.5000 0.0000
```

First-principles (PBE) data for a relaxed structure of KFe2Ag, as listed in Alexandria via LeMat-Bulk.

Polymorph energy (0 for the lowest one) in meV per atom: 311
ΔE_f in eV/atom: 0.855
Size of the total moment in μB/f.u.: 6.137

Cell and atoms, written as CIF:
```
data_KFe2Ag
_chemical_formula_sum 'K1 Fe2 Ag1'
_cell_length_a 3.5159
_cell_length_b 3.5159
_cell_length_c 7.4685
_cell_angle_alpha 90.00
_cell_angle_beta 90.00
_cell_angle_gamma 90.00
_symmetry_space_group_name_H-M 'P 4/m m m'
_symmetry_Int_Tables_number 123
_symmetry_space_group_name_Hall '-P 4 2'
loop_
_atom_site_label
_atom_site_fract_x
_atom_site_fract_y
_atom_site_fract_z
K1 0.0000 0.0000 0.0000
Fe1 0.5000 0.5000 0.3549
Ag1 0.0000 0.0000 0.5000
```

First-principles (PBE) data for a relaxed structure of KFe2Ag, as listed in Alexandria via LeMat-Bulk.

Polymorph energy (0 for the lowest one) in meV per atom: 433
ΔE_f in eV/atom: 0.977
Size of the total moment in μB/f.u.: 5.852

Cell and atoms, written as CIF:
```
data_KFe2Ag
_chemical_formula_sum 'K4 Fe8 Ag4'
_cell_length_a 4.6780
_cell_length_b 4.6780
_cell_length_c 19.1139
_cell_angle_alpha 90.00
_cell_angle_beta 90.00
_cell_angle_gamma 90.00
_symmetry_space_group_name_H-M 'I 41/a m d'
_symmetry_Int_Tables_number 141
loop_
_symmetry_equiv_pos_as_xyz
'x,y,z'
'-x,-y,-z'
'-y+1/4,x+3/4,z+1/4'
'y+1/4,-x+3/4,-z+1/4'
'-x+1/2,-y,z+1/2'
'x+1/2,y,-z+1/2'
'y+1/4,-x+1/4,z+3/4'
'-y+1/4,x+1/4,-z+3/4'
'x,-y,-z'
'-x,y,z'
'-y+1/4,-x+1/4,-z+3/4'
'y+1/4,x+1/4,z+3/4'
'-x+1/2,y,-z+1/2'
'x+1/2,-y,z+1/2'
'y+1/4,x+3/4,-z+1/4'
'-y+1/4,-x+3/4,z+1/4'
'x+1/2,y+1/2,z+1/2'
'-x+1/2,-y+1/2,-z+1/2'
'-y+3/4,x+1/4,z+3/4'
'y+3/4,-x+1/4,-z+3/4'
'-x,-y+1/2,z'
'x,y+1/2,-z'
'y+3/4,-x+3/4,z+1/4'
'-y+3/4,x+3/4,-z+1/4'
'x+1/2,-y+1/2,-z+1/2'
'-x+1/2,y+1/2,z+1/2'
'-y+3/4,-x+3/4,-z+1/4'
'y+3/4,x+3/4,z+1/4'
'-x,y+1/2,-z'
'x,-y+1/2,z'
'y+3/4,x+1/4,-z+3/4'
'-y+3/4,-x+1/4,z+3/4'
loop_
_atom_site_label
_atom_site_fract_x
_atom_site_fract_y
_atom_site_fract_z
K1 0.0000 0.2500 0.3750
Fe1 0.0000 0.0000 0.0000
Ag1 0.0000 0.2500 0.8750
```

First-principles (PBE) data for a relaxed structure of KFe2Ag, as listed in Alexandria via LeMat-Bulk.

Polymorph energy (0 for the lowest one) in meV per atom: 0
ΔE_f in eV/atom: 0.544
Size of the total moment in μB/f.u.: 5.220

Cell and atoms, written as CIF:
```
data_KFe2Ag
_chemical_formula_sum 'K1 Fe2 Ag1'
_cell_length_a 3.0855
_cell_length_b 3.0855
_cell_length_c 8.3058
_cell_angle_alpha 90.00
_cell_angle_beta 90.00
_cell_angle_gamma 90.00
_symmetry_space_group_name_H-M 'P 4 m m'
_symmetry_Int_Tables_number 99
loop_
_symmetry_equiv_pos_as_xyz
'x,y,z'
'-y,x,z'
'-x,-y,z'
'y,-x,z'
'-x,y,z'
'y,x,z'
'x,-y,z'
'-y,-x,z'
loop_
_atom_site_label
_atom_site_fract_x
_atom_site_fract_y
_atom_site_fract_z
K1 0.0000 0.0000 0.0000
Fe1 0.0000 0.0000 0.5464
Fe2 0.5000 0.5000 0.6714
Ag1 0.5000 0.5000 0.3323
```